Material: Ca3Sn5Br16
Method: DFT, PBE-GGA
State: relaxed

Lattice parameters (Å, degrees): 15.190 8.702 13.639 90.00 90.30 90.00
Space group Cm (No. 8)
Inequivalent atoms, fractional coordinates:
Ca  0.000  0.000  0.000
Ca  0.418  0.249  0.497
Sn  0.164  0.000  0.261
Sn  0.170  0.500  0.498
Sn  0.251  0.251  0.998
Sn  0.499  0.000  0.758
Br  0.071  0.264  0.629
Br  0.085  0.227  0.129
Br  0.160  0.000  0.882
Br  0.171  0.500  0.875
Br  0.255  0.259  0.382
Br  0.321  0.000  0.132
Br  0.339  0.500  0.117
Br  0.339  0.500  0.612
Br  0.347  0.000  0.622
Br  0.415  0.259  0.885
Br  0.494  0.500  0.385
Br  0.497  0.000  0.383

Summary:
Crystal system: monoclinic


Material: CaSn3Br
Method: DFT, PBE-GGA
State: relaxed

Lattice parameters (Å, degrees): 5.938 5.938 5.938 90.00 90.00 90.00
Space group Pm-3m (No. 221)
Inequivalent atoms, fractional coordinates:
Ca  0.000  0.000  0.000
Sn  0.000  0.000  0.500
Br  0.500  0.500  0.500

Summary:
E above lowest polymorph: 0.3335 eV/atom
Crystal system: cubic


Material: CaSnBr2
Method: DFT, PBE-GGA
State: relaxed

Lattice parameters (Å, degrees): 7.678 7.678 7.678 90.00 90.00 90.00
Space group Fm-3m (No. 225)
Inequivalent atoms, fractional coordinates:
Ca  0.000  0.000  0.000
Sn  0.000  0.000  0.500
Br  0.250  0.250  0.250

Summary:
E above lowest polymorph: 0.4151 eV/atom
Crystal system: cubic


Material: CaSn3Br8
Method: DFT, PBE-GGA
State: relaxed

Lattice parameters (Å, degrees): 14.562 8.761 8.541 90.00 123.38 90.00
Space group C2/m (No. 12)
Inequivalent atoms, fractional coordinates:
Ca  0.000  0.000  0.000
Sn  0.000  0.500  0.000
Sn  0.250  0.250  0.500
Br  0.002  0.243  0.238
Br  0.241  0.000  0.248
Br  0.248  0.500  0.254

Summary:
Crystal system: monoclinic


Material: Ca2SnBr
Method: DFT, PBE-GGA
State: relaxed

Lattice parameters (Å, degrees): 4.3167 4.3167 23.5808 90.00 90.00 120.00
Space group R-3m (No. 166, hexagonal axes)
Inequivalent atoms, fractional coordinates:
Ca  0.0000  0.0000  0.2461
Sn  0.0000  0.0000  0.5000
Br  0.0000  0.0000  0.0000

Summary:
E above lowest polymorph: 0.0000 eV/atom
Crystal system: trigonal


Material: Ca3SnBr
Method: DFT, PBE-GGA
State: relaxed

Lattice parameters (Å, degrees): 5.445 5.445 5.445 90.00 90.00 90.00
Space group Pm-3m (No. 221)
Inequivalent atoms, fractional coordinates:
Ca  0.000  0.000  0.500
Sn  0.500  0.500  0.500
Br  0.000  0.000  0.000

Summary:
E above lowest polymorph: 0.0000 eV/atom
Crystal system: cubic


Material: CaSnBr2
Method: DFT, PBE-GGA
State: relaxed

Lattice parameters (Å, degrees): 8.403 8.403 7.156 90.00 90.00 90.00
Space group I-42d (No. 122)
Inequivalent atoms, fractional coordinates:
Ca  0.000  0.000  0.000
Sn  0.000  0.000  0.500
Br  0.219  0.250  0.125

Summary:
E above lowest polymorph: 0.2588 eV/atom
Crystal system: tetragonal


Material: Ca3SnBr8
Method: DFT, PBE-GGA
State: relaxed

Lattice parameters (Å, degrees): 14.615 8.657 8.560 90.00 124.30 90.00
Space group C2/m (No. 12)
Inequivalent atoms, fractional coordinates:
Ca  0.000  0.000  0.000
Ca  0.250  0.250  0.500
Sn  0.000  0.500  0.000
Br  0.008  0.244  0.245
Br  0.243  0.000  0.261
Br  0.249  0.500  0.268

Summary:
Crystal system: monoclinic


Material: CaSnBr2
Method: DFT, PBE-GGA
State: relaxed

Lattice parameters (Å, degrees): 3.8938 3.8938 34.5916 90.00 90.00 120.00
Space group R-3m (No. 166, hexagonal axes)
Inequivalent atoms, fractional coordinates:
Ca  0.0000  0.0000  0.0000
Sn  0.0000  0.0000  0.5000
Br  0.0000  0.0000  0.3840

Summary:
E above lowest polymorph: 0.0000 eV/atom
Crystal system: trigonal


Material: Ca2SnBr
Method: DFT, PBE-GGA
State: relaxed

Lattice parameters (Å, degrees): 3.733 3.733 8.351 90.00 90.00 90.00
Space group P4/mmm (No. 123)
Inequivalent atoms, fractional coordinates:
Ca  0.000  0.000  0.232
Sn  0.500  0.500  0.000
Br  0.500  0.500  0.500

Summary:
E above lowest polymorph: 0.0406 eV/atom
Crystal system: tetragonal


Material: Ca3Sn5Br12
Method: DFT, PBE-GGA
State: relaxed

Lattice parameters (Å, degrees): 19.259 19.259 19.259 90.00 90.00 90.00
Space group Ia-3d (No. 230)
Inequivalent atoms, fractional coordinates:
Ca  0.000  0.250  0.125
Sn  0.000  0.000  0.000
Sn  0.000  0.250  0.375
Br  0.010  0.154  0.517

Summary:
Crystal system: cubic


Material: Ca2SnBr
Method: DFT, PBE-GGA
State: relaxed

Lattice parameters (Å, degrees): 8.036 8.036 8.448 90.00 90.00 90.00
Space group I-42d (No. 122)
Inequivalent atoms, fractional coordinates:
Ca  0.233  0.250  0.125
Sn  0.000  0.000  0.500
Br  0.000  0.000  0.000

Summary:
E above lowest polymorph: 0.2165 eV/atom
Crystal system: tetragonal


Material: SrCaSnBr2
Method: DFT, PBE-GGA
State: relaxed

Lattice parameters (Å, degrees): 5.470 5.470 6.511 90.00 90.00 90.00
Space group P4/mmm (No. 123)
Inequivalent atoms, fractional coordinates:
Sr  0.000  0.000  0.000
Ca  0.500  0.500  0.500
Sn  0.500  0.500  0.000
Br  0.000  0.500  0.500

Summary:
Crystal system: tetragonal


Material: SrCaSnBr6
Method: DFT, PBE-GGA
State: relaxed

Lattice parameters (Å, degrees): 7.030 7.030 13.637 90.00 90.00 90.00
Space group P4_2nm (No. 102)
Inequivalent atoms, fractional coordinates:
Sr  0.000  0.000  0.000
Ca  0.000  0.000  0.666
Sn  0.000  0.000  0.332
Br  0.191  0.191  0.504
Br  0.196  0.196  0.826
Br  0.203  0.203  0.169

Summary:
Crystal system: tetragonal


Material: CaTlSnBr6
Method: DFT, PBE-GGA
State: relaxed

Lattice parameters (Å, degrees): 7.4010 7.4010 14.5079 90.00 90.00 120.00
Space group P-31c (No. 163)
Inequivalent atoms, fractional coordinates:
Ca  0.3333  0.6667  0.2500
Tl  0.0000  0.0000  0.0000
Sn  0.3333  0.6667  0.7500
Br  0.0103  0.3691  0.6374

Summary:
Crystal system: trigonal


Material: SrCa2Br6
Method: DFT, PBE-GGA
State: relaxed

Lattice parameters (Å, degrees): 14.776 4.916 10.638 90.00 96.43 90.00
Space group C2/m (No. 12)
Inequivalent atoms, fractional coordinates:
Sr  0.000  0.000  0.000
Ca  0.245  0.500  0.323
Br  0.086  0.000  0.757
Br  0.125  0.500  0.092
Br  0.171  0.000  0.406

Summary:
Crystal system: monoclinic


Material: SrCaBr2
Method: DFT, PBE-GGA
State: relaxed

Lattice parameters (Å, degrees): 8.341 8.341 8.341 90.00 90.00 90.00
Space group F-43m (No. 216)
Inequivalent atoms, fractional coordinates:
Sr  0.000  0.000  0.000
Ca  0.250  0.250  0.750
Br  0.000  0.000  0.500
Br  0.250  0.250  0.250

Summary:
E above lowest polymorph: 0.7553 eV/atom
Crystal system: cubic


Material: Sr2CaBr
Method: DFT, PBE-GGA
State: relaxed

Lattice parameters (Å, degrees): 3.935 3.935 10.587 90.00 90.00 90.00
Space group P4/mmm (No. 123)
Inequivalent atoms, fractional coordinates:
Sr  0.000  0.000  0.219
Ca  0.500  0.500  0.500
Br  0.500  0.500  0.000

Summary:
E above lowest polymorph: 0.0651 eV/atom
Crystal system: tetragonal


Material: SrCa2Br
Method: DFT, PBE-GGA
State: relaxed

Lattice parameters (Å, degrees): 4.0168 4.0168 33.2473 90.00 90.00 120.00
Space group R-3m (No. 166, hexagonal axes)
Inequivalent atoms, fractional coordinates:
Sr  0.0000  0.0000  0.0000
Ca  0.0000  0.0000  0.2341
Br  0.0000  0.0000  0.5000

Summary:
E above lowest polymorph: 0.0000 eV/atom
Crystal system: trigonal


Material: Sr2CaBr
Method: DFT, PBE-GGA
State: relaxed

Lattice parameters (Å, degrees): 9.046 9.046 9.046 90.00 90.00 90.00
Space group Fm-3m (No. 225)
Inequivalent atoms, fractional coordinates:
Sr  0.250  0.250  0.250
Ca  0.000  0.000  0.000
Br  0.000  0.000  0.500

Summary:
E above lowest polymorph: 0.4252 eV/atom
Crystal system: cubic


Material: Sr2CaBr
Method: DFT, PBE-GGA
State: relaxed

Lattice parameters (Å, degrees): 9.760 9.760 8.020 90.00 90.00 90.00
Space group I-42d (No. 122)
Inequivalent atoms, fractional coordinates:
Sr  0.174  0.250  0.125
Ca  0.000  0.000  0.500
Br  0.000  0.000  0.000

Summary:
E above lowest polymorph: 0.2001 eV/atom
Crystal system: tetragonal


Density values, unit g/cm³, following the record order: 3.67 3.78 4.67 3.78 3.65 3.28 4.19 3.26 3.49 3.98 3.11 3.39 3.46 3.58 4.07 2.80 3.29 2.99 2.66 2.65 2.57.
Total energy values, unit eV per atom, following the record order: -3.44 -2.58 -3.06 -3.37 -3.44 -2.87 -3.22 -3.67 -3.47 -3.40 -3.15 -3.22 -3.17 -3.59 -3.19 -3.73 -2.43 -2.40 -2.50 -2.04 -2.27.
ΔE_f (raw) values, unit eV per atom, following the record order: -1.241 0.560 -0.721 -1.082 -1.017 -0.534 -0.878 -1.725 -1.136 -0.976 -0.847 -0.800 -0.965 -1.624 -1.148 -1.979 -0.672 -0.643 -0.656 -0.283 -0.508.